(1)
The following is a DFT calculation (meta-GGA SCAN) of TaFePb3 at its PBEsol-relaxed geometry.

Cell and atoms, written as CIF:
```
data_TaFePb3
_chemical_formula_sum 'Ta1 Fe1 Pb3'
_cell_length_a 5.406
_cell_length_b 5.406
_cell_length_c 5.406
_cell_angle_alpha 90.00
_cell_angle_beta 90.00
_cell_angle_gamma 90.00
_symmetry_space_group_name_H-M 'P 1'
_symmetry_Int_Tables_number 1
loop_
_symmetry_equiv_pos_as_xyz
'x,y,z'
loop_
_atom_site_label
_atom_site_type_symbol
_atom_site_fract_x
_atom_site_fract_y
_atom_site_fract_z
Ta1 Ta 0.000 0.000 0.000
Fe1 Fe 0.500 0.500 0.500
Pb1 Pb 0.000 0.000 0.500
Pb2 Pb 0.000 0.500 0.000
Pb3 Pb 0.500 0.000 0.000
```

Values from the calculation:
Calculated formation energy in meV per atom: 989.4


(2)
The following is a DFT calculation (meta-GGA SCAN) of CdTcPb2Cl at its PBEsol-relaxed geometry.

Cell and atoms, written as CIF:
```
data_CdTcPb2Cl
_chemical_formula_sum 'Cd1 Tc1 Pb2 Cl1'
_cell_length_a 5.347
_cell_length_b 5.347
_cell_length_c 4.987
_cell_angle_alpha 90.00
_cell_angle_beta 90.00
_cell_angle_gamma 90.00
_symmetry_space_group_name_H-M 'P 1'
_symmetry_Int_Tables_number 1
loop_
_symmetry_equiv_pos_as_xyz
'x,y,z'
loop_
_atom_site_label
_atom_site_type_symbol
_atom_site_fract_x
_atom_site_fract_y
_atom_site_fract_z
Cd1 Cd 0.000 0.000 0.000
Tc1 Tc 0.500 0.500 0.000
Pb1 Pb 0.000 0.500 0.500
Pb2 Pb 0.500 0.000 0.500
Cl1 Cl 0.000 0.000 0.500
```

Values from the calculation:
Formation energy (no corrections) in eV/atom: 1.02


(3)
The following is a DFT calculation (meta-GGA SCAN) of AgHg2As at its PBEsol-relaxed geometry.

Cell and atoms, written as CIF:
```
data_AgHg2As
_chemical_formula_sum 'Ag1 Hg2 As1'
_cell_length_a 2.938
_cell_length_b 4.860
_cell_length_c 5.906
_cell_angle_alpha 90.00
_cell_angle_beta 103.89
_cell_angle_gamma 90.00
_symmetry_space_group_name_H-M 'P 1'
_symmetry_Int_Tables_number 1
loop_
_symmetry_equiv_pos_as_xyz
'x,y,z'
loop_
_atom_site_label
_atom_site_type_symbol
_atom_site_fract_x
_atom_site_fract_y
_atom_site_fract_z
Ag1 Ag 0.000 0.000 0.000
Hg1 Hg 0.139 0.500 0.763
Hg2 Hg 0.861 0.500 0.237
As1 As 0.000 0.000 0.500
```

Values from the calculation:
Calculated formation energy in meV per atom: 204.3


Number 1: D(E_F) 7.27 states/eV/f.u.. Number 2: D(E_F) 2.95 states/eV/f.u.. Number 3: D(E_F) 1.06 states/eV/f.u..